Ce2Ge6PtRh | GGA-PBE | optimized geometry

Computed properties:
Total energy   -5.7328 eV per atom
Energy of formation   -0.44 eV per atom
Volume   21.495 A^3/atom
D(E_F)   13.61 states/eV/f.u.

```
data_Ce2Ge6PtRh
_chemical_formula_sum 'Ce4 Ge12 Pt2 Rh2'
_cell_length_a 5.764
_cell_length_b 8.114
_cell_length_c 9.192
_cell_angle_alpha 90.00
_cell_angle_beta 90.00
_cell_angle_gamma 90.00
_space_group_name_H-M_alt 'P m m n'
_space_group_IT_number 59
loop_
_space_group_symop_operation_xyz
'x,y,z'
'-x,-y,-z'
'-x+1/2,-y+1/2,z'
'x+1/2,y+1/2,-z'
'x+1/2,-y,-z'
'-x+1/2,y,z'
'-x,y+1/2,-z'
'x,-y+1/2,z'
loop_
_atom_site_label
_atom_site_fract_x
_atom_site_fract_y
_atom_site_fract_z
Ce1 0.250 0.014 0.207
Ge1 0.017 0.250 0.477
Ge2 0.040 0.250 0.952
Ge3 0.250 0.548 0.662
Pt1 0.250 0.750 0.863
Rh1 0.250 0.250 0.707
```